[1]
Computed, not measured: a geometry-optimized KIn2Ag3 structure at the GGA-PBE level of DFT.

Unit cell a=6.065 b=7.326 c=7.326 alpha=101.62 beta=90.00 gamma=90.00
Sites, in units of the cell vectors:
K 0.250 0.323 0.323
K 0.750 0.677 0.677
In 0.000 0.785 0.215
In 0.000 0.215 0.785
In 0.500 0.215 0.785
In 0.500 0.785 0.215
Ag 0.250 0.936 0.936
Ag 0.750 0.064 0.064
Ag 0.750 0.462 0.070
Ag 0.250 0.538 0.930
Ag 0.750 0.070 0.462
Ag 0.250 0.930 0.538

## Properties
* E_tot: -2.576 eV per atom
* energy relative to the elements: -5 kJ per mole of atoms
* space group: No. 63

[2]
Computed, not measured: a geometry-optimized K2InAg structure at the GGA-PBE level of DFT.

Unit cell a=11.184 b=11.184 c=11.184 alpha=20.41 beta=20.41 gamma=20.41
Sites, in units of the cell vectors:
K 0.992 0.992 0.992
K 0.508 0.508 0.508
Ag 0.250 0.250 0.250
In 0.750 0.750 0.750

## Properties
* E_tot: -1.763 eV per atom
* energy relative to the elements: 18 kJ per mole of atoms
* space group: No. 166

Question: The highest energy relative to the elements belongs to which entry?
Answer: K2InAg